VASP calculation (PBE) on crystalline SrCuHg3 at its relaxed geometry.

a = 6.403 Å, b = 6.403 Å, c = 6.403 Å
α = 90.00°, β = 90.00°, γ = 90.00°
Space group Pm-3m (No. 221)
One atom of each set of equivalent atoms:
Sr: 0.000 0.000 0.000
Cu: 0.500 0.500 0.500
Hg: 0.000 0.000 0.500

Output
Energy of formation from the pure elements ... 3.00 eV per formula unit
Calculated volume ... 52.51 A^3/atom
Spin magnetization ... 0.00 μB per cell